[1]
Density functional theory data (GGA-PBE) for crystalline GaBIr3 at its relaxed geometry.

Properties
ΔH_f (0 K) = 11.0 eV per formula unit

a = 4.518 Å, b = 4.518 Å, c = 4.518 Å
α = 90.00°, β = 90.00°, γ = 90.00°
Space group Pm-3m (No. 221)
Asymmetric unit:
Ga (0.000, 0.000, 0.000) x1
B (0.500, 0.500, 0.500) x1
Ir (0.000, 0.000, 0.500) x3

=====

[2]
Density functional theory data (GGA-PBE) for crystalline LiLaTc at its relaxed geometry.

Properties
ΔH_f (0 K) = 0.4 eV per formula unit

a = 11.745 Å, b = 4.563 Å, c = 5.402 Å
α = 90.00°, β = 100.52°, γ = 90.00°
Space group C2/m (No. 12)
Asymmetric unit:
Li (0.080, 0.000, 0.287) x4
La (0.130, 0.500, 0.815) x4
Tc (0.219, 0.500, 0.407) x4

=====

[3]
Density functional theory data (GGA-PBE) for crystalline K2VCrW at its relaxed geometry.

Properties
ΔH_f (0 K) = 10.5 eV per formula unit

a = 6.465 Å, b = 6.465 Å, c = 4.558 Å
α = 90.00°, β = 90.00°, γ = 90.00°
Space group P4/mmm (No. 123)
Asymmetric unit:
K (0.000, 0.500, 0.000) x2
V (0.000, 0.000, 0.500) x1
Cr (0.500, 0.500, 0.500) x1
W (0.500, 0.500, 0.000) x1

=====

[4]
Density functional theory data (GGA-PBE) for crystalline NpBi2RuO8 at its relaxed geometry.

Properties
formation energy (no corrections) = -1.59 eV/atom

a = 5.183 Å, b = 6.650 Å, c = 5.195 Å
α = 90.00°, β = 91.04°, γ = 90.00°
Space group P2/m (No. 10)
Asymmetric unit:
Np (0.000, 0.000, 0.000) x1
Bi (0.500, 0.259, 0.500) x2
Ru (0.000, 0.500, 0.000) x1
O (0.178, 0.249, 0.824) x4
O (0.264, 0.500, 0.265) x2
O (0.288, 0.000, 0.290) x2

=====

[5]
Density functional theory data (GGA-PBE) for crystalline Ta2MoSe at its relaxed geometry.

Properties
formation energy (no corrections) = 0.14 eV/atom

a = 3.271 Å, b = 4.373 Å, c = 4.774 Å
α = 90.00°, β = 90.00°, γ = 90.00°
Space group Pmmm (No. 47)
Asymmetric unit:
Ta (0.000, 0.000, 0.000) x1
Ta (0.500, 0.000, 0.500) x1
Mo (0.000, 0.500, 0.500) x1
Se (0.500, 0.500, 0.000) x1

=====

[6]
Density functional theory data (GGA-PBE) for crystalline NaPrSm2 at its relaxed geometry.

Properties
ΔH_f (0 K) = 0.5 eV per formula unit

a = 3.600 Å, b = 3.600 Å, c = 10.838 Å
α = 90.00°, β = 90.00°, γ = 90.00°
Space group P4/mmm (No. 123)
Asymmetric unit:
Na (0.000, 0.000, 0.000) x1
Pr (0.000, 0.000, 0.500) x1
Sm (0.500, 0.500, 0.264) x2

=====

[7]
Density functional theory data (GGA-PBE) for crystalline Li2ZnPb at its relaxed geometry.

Properties
ΔH_f (0 K) = -0.8 eV per formula unit

a = 3.261 Å, b = 3.447 Å, c = 6.726 Å
α = 90.00°, β = 90.47°, γ = 90.00°
Space group P2/m (No. 10)
Asymmetric unit:
Li (0.002, 0.000, 0.217) x2
Zn (0.500, 0.500, 0.000) x1
Pb (0.500, 0.500, 0.500) x1

=====

[8]
Density functional theory data (GGA-PBE) for crystalline MgH4IrPd2 at its relaxed geometry.

Properties
E = -142.2 eV for the cell shown

a = 5.857 Å, b = 5.904 Å, c = 9.109 Å
α = 90.00°, β = 90.00°, γ = 90.00°
Space group Fmm2 (No. 42)
Asymmetric unit:
Mg (0.000, 0.000, 0.000) x4
H (0.000, 0.202, 0.636) x8
H (0.200, 0.000, 0.363) x8
Ir (0.000, 0.000, 0.501) x4
Pd (0.250, 0.250, 0.251) x8

=====

[9]
Density functional theory data (GGA-PBE) for crystalline Sr3Pt3Au at its relaxed geometry.

Properties
ΔH_f (0 K) = -5.2 eV per formula unit

a = 11.312 Å, b = 4.444 Å, c = 15.691 Å
α = 90.00°, β = 110.47°, γ = 90.00°
Space group C2/m (No. 12)
Asymmetric unit:
Sr (0.033, 0.000, 0.278) x4
Sr (0.168, 0.500, 0.106) x4
Sr (0.178, 0.000, 0.575) x4
Pt (0.034, 0.500, 0.424) x4
Pt (0.057, 0.000, 0.943) x4
Pt (0.185, 0.500, 0.724) x4
Au (0.118, 0.500, 0.876) x4

=====

[10]
Density functional theory data (GGA-PBE) for crystalline RbVHgSb2 at its relaxed geometry.

Properties
formation energy (no corrections) = -0.07 eV/atom

a = 5.184 Å, b = 5.184 Å, c = 5.590 Å
α = 90.00°, β = 90.00°, γ = 90.00°
Space group P4/mmm (No. 123)
Asymmetric unit:
Rb (0.000, 0.000, 0.000) x1
V (0.500, 0.500, 0.500) x1
Hg (0.500, 0.500, 0.000) x1
Sb (0.000, 0.500, 0.500) x2

=====

> Number 4 is which compound?

NpBi2RuO8